No. 1
# GGA-PBE CaCu2Hg, relaxed
data_CaCu2Hg
_chemical_formula_sum 'Ca4 Cu8 Hg4'
_cell_length_a 6.769
_cell_length_b 6.769
_cell_length_c 6.769
_cell_angle_alpha 90.00
_cell_angle_beta 90.00
_cell_angle_gamma 90.00
_space_group_name_H-M_alt 'F -4 3 m'
_space_group_IT_number 216
_space_group_name_Hall 'F -4 2 3'
loop_
_atom_site_label
_atom_site_type_symbol
_atom_site_fract_x
_atom_site_fract_y
_atom_site_fract_z
Ca1 Ca 0.000 0.000 0.000
Cu1 Cu 0.000 0.000 0.500
Cu2 Cu 0.250 0.250 0.250
Hg1 Hg 0.250 0.250 0.750
# E_tot: -42.1 eV for the cell shown
# V: 19.4 Å³/atom
# ΔH_f (0 K): -0.007 eV per atom
# Fermi-level density of states: 0.3542 states/eV per atom



No. 2
# GGA-PBE CaCuHg4, relaxed
data_CaCuHg4
_chemical_formula_sum 'Ca4 Cu4 Hg16'
_cell_length_a 8.409
_cell_length_b 8.409
_cell_length_c 8.409
_cell_angle_alpha 90.00
_cell_angle_beta 90.00
_cell_angle_gamma 90.00
_space_group_name_H-M_alt 'F -4 3 m'
_space_group_IT_number 216
_space_group_name_Hall 'F -4 2 3'
loop_
_atom_site_label
_atom_site_type_symbol
_atom_site_fract_x
_atom_site_fract_y
_atom_site_fract_z
Ca1 Ca 0.000 0.000 0.000
Cu1 Cu 0.250 0.250 0.750
Hg1 Hg 0.125 0.125 0.375
# E_tot: -27.4 eV for the cell shown
# V: 24.8 Å³/atom
# ΔH_f (0 K): 0.077 eV per atom
# Fermi-level density of states: 0.5905 states/eV per atom



No. 3
# GGA-PBE Ca5Cu2Hg, relaxed
data_Ca5Cu2Hg
_chemical_formula_sum 'Ca20 Cu8 Hg4'
_cell_length_a 7.871
_cell_length_b 7.871
_cell_length_c 14.694
_cell_angle_alpha 90.00
_cell_angle_beta 90.00
_cell_angle_gamma 90.00
_space_group_name_H-M_alt 'I 4/m c m'
_space_group_IT_number 140
_space_group_name_Hall '-I 4 2c'
loop_
_atom_site_label
_atom_site_type_symbol
_atom_site_fract_x
_atom_site_fract_y
_atom_site_fract_z
Ca1 Ca 0.000 0.000 0.000
Ca2 Ca 0.170 0.330 0.141
Cu1 Cu 0.113 0.387 0.500
Hg1 Hg 0.000 0.000 0.250
# E_tot: -82.0 eV for the cell shown
# V: 28.4 Å³/atom
# ΔH_f (0 K): -0.251 eV per atom
# Fermi-level density of states: 0.5524 states/eV per atom